# 1
PBE-GGA Li2BeRh, relaxed; energy of formation = 0.3 eV per formula unit
1.0
1.307 0.754 8.808
-1.307 0.754 8.808
0.000 -1.509 8.808
Li Be Rh
2 1 1
Direct
0.248 0.248 0.248
0.752 0.752 0.752
0.000 0.000 0.000
0.500 0.500 0.500



# 2
PBE-GGA CsBiTe3, relaxed; energy above the lowest structure with this stoichiometry = 0 kJ/mol of formula units; E_form (uncorrected) = -176 kJ/mol of formula units
1.0
6.810 0.000 0.000
0.000 6.425 0.000
-2.613 0.000 9.513
Cs Bi Te
2 2 6
Direct
0.026 0.250 0.170
0.974 0.750 0.830
0.392 0.250 0.670
0.608 0.750 0.330
0.075 0.750 0.377
0.394 0.750 0.636
0.467 0.250 0.980
0.533 0.750 0.020
0.606 0.250 0.364
0.925 0.250 0.623



# 3
PBE-GGA RbInPb, relaxed; energy of formation = -0.1 eV per formula unit
1.0
3.656 0.000 0.000
0.000 5.787 0.000
0.000 0.000 9.874
Rb In Pb
2 2 2
Direct
0.000 0.000 0.000
0.000 0.500 0.500
0.500 0.000 0.339
0.500 0.000 0.661
0.500 0.500 0.169
0.500 0.500 0.831



# 4
PBE-GGA CsHf3Be, relaxed; energy above the lowest structure with this stoichiometry = 787 kJ/mol of formula units; energy of formation = 13.5 eV per formula unit
1.0
5.201 0.000 0.000
0.000 5.201 0.000
0.000 0.000 5.201
Cs Hf Be
1 3 1
Direct
0.000 0.000 0.000
0.000 0.000 0.500
0.000 0.500 0.000
0.500 0.000 0.000
0.500 0.500 0.500



# 5
PBE-GGA Cs3Cd12Hg5, relaxed; energy of formation = 0.8 eV per formula unit
1.0
-9.340 9.340 9.340
9.340 -9.340 9.340
9.340 9.340 -9.340
Cs Cd Hg
12 48 20
Direct
0.125 0.250 0.375
0.125 0.375 0.750
0.250 0.375 0.125
0.250 0.875 0.625
0.375 0.125 0.250
0.375 0.750 0.125
0.625 0.250 0.875
0.625 0.875 0.750
0.750 0.125 0.375
0.750 0.625 0.875
0.875 0.625 0.250
0.875 0.750 0.625
0.013 0.557 0.855
0.013 0.956 0.159
0.044 0.703 0.057
0.044 0.841 0.987
0.057 0.044 0.703
0.057 0.513 0.355
0.145 0.659 0.703
0.145 0.987 0.443
0.159 0.013 0.956
0.159 0.645 0.203
0.203 0.159 0.645
0.203 0.544 0.557
0.297 0.855 0.341
0.297 0.943 0.956
0.341 0.297 0.855
0.341 0.544 0.487
0.355 0.057 0.513
0.355 0.797 0.841
0.443 0.145 0.987
0.443 0.797 0.456
0.456 0.443 0.797
0.456 0.513 0.659
0.487 0.341 0.544
0.487 0.645 0.943
0.513 0.355 0.057
0.513 0.659 0.456
0.544 0.487 0.341
0.544 0.557 0.203
0.557 0.203 0.544
0.557 0.855 0.013
0.645 0.203 0.159
0.645 0.943 0.487
0.659 0.456 0.513
0.659 0.703 0.145
0.703 0.057 0.044
0.703 0.145 0.659
0.797 0.456 0.443
0.797 0.841 0.355
0.841 0.355 0.797
0.841 0.987 0.044
0.855 0.013 0.557
0.855 0.341 0.297
0.943 0.487 0.645
0.943 0.956 0.297
0.956 0.159 0.013
0.956 0.297 0.943
0.987 0.044 0.841
0.987 0.443 0.145
0.000 0.000 0.000
0.000 0.000 0.500
0.000 0.500 0.000
0.000 0.500 0.500
0.125 0.750 0.875
0.125 0.875 0.250
0.250 0.125 0.875
0.250 0.625 0.375
0.375 0.250 0.625
0.375 0.625 0.750
0.500 0.000 0.000
0.500 0.000 0.500
0.500 0.500 0.000
0.500 0.500 0.500
0.625 0.375 0.250
0.625 0.750 0.375
0.750 0.375 0.625
0.750 0.875 0.125
0.875 0.125 0.750
0.875 0.250 0.125



# 6
PBE-GGA TbBeSiNi6, relaxed; E_form (uncorrected) = -143 kJ/mol of formula units
1.0
-3.083 3.743 5.116
3.083 -3.743 5.116
3.083 3.743 -5.116
Tb Be Si Ni
2 2 2 12
Direct
0.457 0.207 0.250
0.543 0.793 0.750
0.000 0.000 0.000
0.500 0.000 0.500
0.000 0.000 0.500
0.000 0.500 0.000
0.106 0.415 0.285
0.106 0.821 0.691
0.158 0.908 0.250
0.269 0.519 0.750
0.370 0.179 0.785
0.370 0.585 0.191
0.630 0.415 0.809
0.630 0.821 0.215
0.731 0.481 0.250
0.842 0.092 0.750
0.894 0.179 0.309
0.894 0.585 0.715



# 7
PBE-GGA CrPt3I, relaxed; energy above the lowest structure with this stoichiometry = 0 kJ/mol of formula units; E_form (uncorrected) = 484 kJ/mol of formula units
1.0
4.691 0.000 0.000
0.000 4.691 0.000
0.000 0.000 4.691
Cr Pt I
1 3 1
Direct
0.000 0.000 0.000
0.000 0.000 0.500
0.000 0.500 0.000
0.500 0.000 0.000
0.500 0.500 0.500



# 8
PBE-GGA SrSc2Ag, relaxed; energy above the lowest structure with this stoichiometry = 93 kJ/mol of formula units; energy of formation = 1.0 eV per formula unit
1.0
3.179 -5.795 0.000
3.179 5.795 0.000
-1.586 0.000 2.935
Sr Sc Ag
1 2 1
Direct
0.000 0.000 0.000
0.000 0.500 0.500
0.500 0.000 0.500
0.500 0.500 0.000